#one
Below is crystalline CaMgSe3 at its relaxed geometry, with properties calculated at the GGA-PBE level.

Computed properties:
Fermi-level density of states, states/eV per atom: 1.2779

extended XYZ file:
```
5
Lattice="5.410 0.000 0.000 0.000 5.410 0.000 0.000 0.000 5.410" Properties=species:S:1:pos:R:3 pbc="T T T"
Ca 0.000 0.000 0.000
Mg 2.705 2.705 2.705
Se 0.000 0.000 2.705
Se 0.000 2.705 0.000
Se 2.705 0.000 0.000
```

***

#two
Below is crystalline CaMgSe3 at its relaxed geometry, with properties calculated at the GGA-PBE level.

Computed properties:
Fermi-level density of states, states/eV per atom: 1.2723

extended XYZ file:
```
5
Lattice="5.081 0.000 0.000 0.000 5.081 0.000 0.000 0.000 5.081" Properties=species:S:1:pos:R:3 pbc="T T T"
Ca 0.000 0.000 0.000
Mg 2.541 2.541 2.541
Se 0.000 2.541 2.541
Se 2.541 0.000 2.541
Se 2.541 2.541 0.000
```

***

It comes down to #two, which is 563 meV/atom more stable than the next structure.

***

#one
Below is crystalline CaMgSe at its relaxed geometry, with properties calculated at the GGA-PBE level.

Computed properties:
Fermi-level density of states, states/eV per atom: 1.0800

extended XYZ file:
```
3
Lattice="0.000 3.518 3.518 3.518 0.000 3.518 3.518 3.518 0.000" Properties=species:S:1:pos:R:3 pbc="T T T"
Ca 0.000 0.000 0.000
Mg 3.518 3.518 3.518
Se 5.277 5.277 5.277
```

***

#two
Below is crystalline CaMgSe at its relaxed geometry, with properties calculated at the GGA-PBE level.

Computed properties:
Fermi-level density of states, states/eV per atom: 0.1621

extended XYZ file:
```
3
Lattice="0.000 2.544 5.959 2.532 0.000 5.959 2.532 2.544 0.000" Properties=species:S:1:pos:R:3 pbc="T T T"
Ca 0.000 0.000 0.000
Mg 2.532 2.544 3.324
Se 2.532 2.544 7.647
```

***

#three
Below is crystalline CaMgSe at its relaxed geometry, with properties calculated at the GGA-PBE level.

extended XYZ file:
```
3
Lattice="0.000 3.574 3.574 3.574 0.000 3.574 3.574 3.574 0.000" Properties=species:S:1:pos:R:3 pbc="T T T"
Ca 0.000 0.000 0.000
Mg 5.361 5.361 5.361
Se 1.787 1.787 1.787
```

***

#four
Below is crystalline CaMgSe at its relaxed geometry, with properties calculated at the GGA-PBE level.

extended XYZ file:
```
3
Lattice="4.016 0.000 0.000 -2.008 3.478 0.000 0.000 0.000 6.087" Properties=species:S:1:pos:R:3 pbc="T T T"
Ca 0.000 0.000 0.000
Mg 2.008 1.159 2.752
Se 0.000 2.318 4.297
```

***

It comes down to #four, which is 131 meV/atom more stable than the next structure.

***

#one
Below is crystalline Ca2Mg2Se at its relaxed geometry, with properties calculated at the GGA-PBE level.

Computed properties:
Fermi-level density of states, states/eV per atom: 0.6250

extended XYZ file:
```
5
Lattice="-2.309 2.309 7.498 2.309 -2.309 7.498 2.309 2.309 -7.498" Properties=species:S:1:pos:R:3 pbc="T T T"
Ca 2.309 0.000 3.749
Ca 0.000 2.309 3.749
Mg 0.000 0.000 1.363
Mg 0.000 0.000 13.634
Se 0.000 0.000 7.498
```

***

#two
Below is crystalline Ca2Mg2Se at its relaxed geometry, with properties calculated at the GGA-PBE level.

Computed properties:
Fermi-level density of states, states/eV per atom: 0.5717

extended XYZ file:
```
10
Lattice="7.529 0.000 0.000 0.000 7.529 0.000 0.000 0.000 5.138" Properties=species:S:1:pos:R:3 pbc="T T T"
Ca 1.242 2.522 0.000
Ca 2.522 6.286 0.000
Ca 5.007 1.242 0.000
Ca 6.286 5.007 0.000
Mg 1.038 4.803 2.569
Mg 2.726 1.038 2.569
Mg 4.803 6.491 2.569
Mg 6.491 2.726 2.569
Se 0.000 0.000 2.569
Se 3.764 3.764 2.569
```

***

It comes down to #two, which is 504 meV/atom more stable than the next structure.